First-principles (PBE) data for an optimized crystal structure of RbNdS2O8, as listed in Alexandria.

Properties
The mass density comes out at 3.2 g/cm3. The calculation puts the uncorrected formation energy at -2.064 eV/atom. For the volume, the calculation gives 18.47 Å³/atom. Its space group is No. 147.

Cell: 5.4657 5.4657 8.5655 Å, 90.00 90.00 120.00°
Fractional positions:
S: 0.6667 0.3333 0.2656
Nd: 0.0000 0.0000 0.5000
O: 0.2531 0.8732 0.6718
O: 0.3333 0.6667 0.9045
O: 0.8732 0.6201 0.3282
O: 0.1268 0.3799 0.6718
S: 0.3333 0.6667 0.7344
O: 0.3799 0.2531 0.3282
O: 0.6201 0.7469 0.6718
Rb: 0.0000 0.0000 0.0000
O: 0.6667 0.3333 0.0955
O: 0.7469 0.1268 0.3282



First-principles (PBE) data for an optimized crystal structure of Rb2NdSbO6, as listed in Alexandria.

Properties
The mass density comes out at 5.3 g/cm3. The calculation puts the uncorrected formation energy at -1.755 eV/atom. For the volume, the calculation gives 16.84 Å³/atom. Its space group is No. 225.

Cell: 6.1979 6.1979 6.1979 Å, 60.00 60.00 60.00°
Each line ends with the local moment (μB).
Fractional positions:
O: 0.7709 0.7709 0.2291  0.29
Nd: 0.5000 0.5000 0.5000  -0.03
O: 0.7709 0.2291 0.7709  0.29
Rb: 0.7500 0.7500 0.7500  0.00
O: 0.2291 0.7709 0.7709  0.29
O: 0.7709 0.2291 0.2291  0.29
O: 0.2291 0.2291 0.7709  0.29
Sb: 0.0000 0.0000 0.0000  -0.03
Rb: 0.2500 0.2500 0.2500  0.00
O: 0.2291 0.7709 0.2291  0.29



Question: Look up the volume of the second one.
Answer: 16.84 Å³/atom